# TaAlCd2 | Alexandria | GGA-PBE | relaxed
data_TaAlCd2
_cell_length_a 3.0139
_cell_length_b 3.0139
_cell_length_c 29.5931
_cell_angle_alpha 90.00
_cell_angle_beta 90.00
_cell_angle_gamma 120.00
_space_group_name_H-M_alt 'R -3 m'
_space_group_IT_number 166
_space_group_name_Hall '-R 3 2"'
loop_
_atom_site_label
_atom_site_type_symbol
_atom_site_fract_x
_atom_site_fract_y
_atom_site_fract_z
Ta1 Ta 0.0000 0.0000 0.0000
Al1 Al 0.0000 0.0000 0.5000
Cd1 Cd 0.0000 0.0000 0.2480
# Calculated density in g/cm3: 9.260
# Calculated volume in Å³ per cell: 232.8
# Total energy in eV per atom: -4.118

# La7Pr4In | Alexandria | GGA-PBE | relaxed
data_La7Pr4In
_cell_length_a 16.3436
_cell_length_b 6.1959
_cell_length_c 9.5824
_cell_angle_alpha 90.00
_cell_angle_beta 115.31
_cell_angle_gamma 90.00
_space_group_name_H-M_alt 'C 1 2/m 1'
_space_group_IT_number 12
loop_
_space_group_symop_operation_xyz
'x,y,z'
'-x,-y,-z'
'-x,y,-z'
'x,-y,z'
'x+1/2,y+1/2,z'
'-x+1/2,-y+1/2,-z'
'-x+1/2,y+1/2,-z'
'x+1/2,-y+1/2,z'
loop_
_atom_site_label
_atom_site_type_symbol
_atom_site_fract_x
_atom_site_fract_y
_atom_site_fract_z
La1 La 0.0000 0.0000 0.0000
La2 La 0.0782 0.5000 0.4315
La3 La 0.1847 0.5000 0.8877
La4 La 0.2133 0.5000 0.2314
Pr1 Pr 0.0732 0.0000 0.6855
Pr2 Pr 0.1845 0.0000 0.3705
In1 In 0.0000 0.5000 0.0000
# Calculated density in g/cm3: 6.250
# Calculated volume in Å³ per cell: 877.2
# Total energy in eV per atom: -4.597

# Nd4Te2AuSe | Alexandria | GGA-PBE | relaxed
data_Nd4Te2AuSe
_cell_length_a 7.6702
_cell_length_b 4.3006
_cell_length_c 7.7055
_cell_angle_alpha 90.00
_cell_angle_beta 108.73
_cell_angle_gamma 90.00
_space_group_name_H-M_alt 'P 1 2/m 1'
_space_group_IT_number 10
loop_
_space_group_symop_operation_xyz
'x,y,z'
'-x,-y,-z'
'-x,y,-z'
'x,-y,z'
loop_
_atom_site_label
_atom_site_type_symbol
_atom_site_fract_x
_atom_site_fract_y
_atom_site_fract_z
Nd1 Nd 0.2401 0.0000 0.2296
Nd2 Nd 0.2595 0.5000 0.7687
Te1 Te 0.0000 0.0000 0.5000
Te2 Te 0.5000 0.5000 0.5000
Au1 Au 0.0000 0.5000 0.0000
Se1 Se 0.5000 0.0000 0.0000
# Uncorrected formation energy in meV/atom: -1374
# Calculated density in g/cm3: 7.644
# Calculated volume in Å³ per cell: 240.7
# Total energy in eV per atom: -5.389

# Ti2Tl5Se6 | Alexandria | GGA-PBE | relaxed
data_Ti2Tl5Se6
_cell_length_a 13.0048
_cell_length_b 8.4051
_cell_length_c 16.7037
_cell_angle_alpha 90.00
_cell_angle_beta 101.55
_cell_angle_gamma 90.00
_space_group_name_H-M_alt 'C 1 2/c 1'
_space_group_IT_number 15
loop_
_space_group_symop_operation_xyz
'x,y,z'
'-x,-y,-z'
'-x,y,-z+1/2'
'x,-y,z+1/2'
'x+1/2,y+1/2,z'
'-x+1/2,-y+1/2,-z'
'-x+1/2,y+1/2,-z+1/2'
'x+1/2,-y+1/2,z+1/2'
loop_
_atom_site_label
_atom_site_type_symbol
_atom_site_fract_x
_atom_site_fract_y
_atom_site_fract_z
Ti1 Ti 0.2223 0.1276 0.4328
Tl1 Tl 0.0000 0.3316 0.2500
Tl2 Tl 0.0361 0.2723 0.9933
Tl3 Tl 0.1560 0.1457 0.7395
Se1 Se 0.0479 0.0348 0.3772
Se2 Se 0.1537 0.4873 0.6397
Se3 Se 0.2229 0.4211 0.4187
# Uncorrected formation energy in meV/atom: -693
# Calculated density in g/cm3: 5.909
# Calculated volume in Å³ per cell: 1788.8
# Total energy in eV per atom: -4.426

# ReP5 | Alexandria | GGA-PBE | relaxed
data_ReP5
_cell_length_a 6.9811
_cell_length_b 6.9811
_cell_length_c 6.9811
_cell_angle_alpha 90.00
_cell_angle_beta 90.00
_cell_angle_gamma 90.00
_space_group_name_H-M_alt 'F -4 3 m'
_space_group_IT_number 216
_space_group_name_Hall 'F -4 2 3'
loop_
_atom_site_label
_atom_site_type_symbol
_atom_site_fract_x
_atom_site_fract_y
_atom_site_fract_z
Re1 Re 0.0000 0.0000 0.0000
P1 P 0.1225 0.1225 0.3775
P2 P 0.2500 0.2500 0.7500
# Calculated density in g/cm3: 6.659
# Relative energy among the computed polymorphs in eV per atom: 0.979
# Calculated volume in Å³ per cell: 340.2
# Total energy in eV per atom: -5.463

# Ag2HgGe2 | Alexandria | GGA-PBE | relaxed
data_Ag2HgGe2
_cell_length_a 8.3514
_cell_length_b 8.3514
_cell_length_c 2.9295
_cell_angle_alpha 90.00
_cell_angle_beta 90.00
_cell_angle_gamma 90.00
_space_group_name_H-M_alt 'P 4/m b m'
_space_group_IT_number 127
_space_group_name_Hall '-P 4 2ab'
loop_
_atom_site_label
_atom_site_type_symbol
_atom_site_fract_x
_atom_site_fract_y
_atom_site_fract_z
Ag1 Ag 0.1706 0.3294 0.0000
Hg1 Hg 0.0000 0.0000 0.0000
Ge1 Ge 0.1246 0.6246 0.5000
# Calculated density in g/cm3: 9.129
# Relative energy among the computed polymorphs in eV per atom: 0.000
# Calculated volume in Å³ per cell: 204.3
# Total energy in eV per atom: -2.847

> What is the calculated volume in the fifth record?

340.2 Å³ per cell

> Which of these has the highest total energy?

Ag2HgGe2